# 1
## LaIrI (PBE)

Data for a geometry-optimized LaIrI structure.

Calculated values
formation energy from raw total energies = -1146 meV per atom
total energy = -6.2590 eV per atom

abc: 7.6310 4.4079 12.2376
angles: 90.00 99.03 90.00
Closest atoms and distances in Å follow each position.
Space group C2/m (No. 12)
Inequivalent atoms, fractional coordinates:
1 La 0.0395 0.0000 0.1582 x4  6 Ir 3.17-3.20, 3 I 3.35
2 Ir 0.1661 0.5000 0.9977 x4  3 Ir 2.54-2.55
3 I 0.2484 0.0000 0.6619 x4  3 La 3.35

---

# 2
## La2Ir2I (PBE)

Data for a geometry-optimized La2Ir2I structure.

Calculated values
formation energy from raw total energies = -755 meV per atom
total energy = -6.5808 eV per atom

abc: 4.1201 4.1201 16.9280
angles: 90.00 90.00 90.00
Closest atoms and distances in Å follow each position.
Space group I4/mmm (No. 139)
Inequivalent atoms, fractional coordinates:
1 La 0.0000 0.0000 0.1370 x4  4 Ir 2.81
2 Ir 0.0000 0.5000 0.2500 x4  4 La 2.81, 4 Ir 2.91
3 I 0.0000 0.0000 0.5000 x2  8 La 3.72, 4 I 4.12

---

# 3
## LaIrI2 (PBE)

Data for a geometry-optimized LaIrI2 structure.

Calculated values
formation energy from raw total energies = 11 meV per atom
total energy = -4.2108 eV per atom
energy above the most stable polymorph in this dataset = 102 meV/atom

abc: 7.5303 7.5303 7.5303
angles: 90.00 90.00 90.00
Closest atoms and distances in Å follow each position.
Space group Fm-3m (No. 225)
Inequivalent atoms, fractional coordinates:
1 La 0.0000 0.0000 0.0000 x4  8 I 3.26
2 Ir 0.0000 0.0000 0.5000 x4  8 I 3.26
3 I 0.2500 0.2500 0.2500 x8  4 La 3.26, 4 Ir 3.26

---

# 4
## La6Ir3I2 (PBE)

Data for a geometry-optimized La6Ir3I2 structure.

Calculated values
formation energy from raw total energies = -938 meV per atom
total energy = -6.3239 eV per atom

abc: 7.3668 12.7756 8.5849
angles: 90.00 106.72 90.00
Closest atoms and distances in Å follow each position.
Space group C2/m (No. 12)
Inequivalent atoms, fractional coordinates:
1 La 0.2280 0.1671 0.1837 x8  3 Ir 2.86-2.89
2 La 0.2287 0.5000 0.1823 x4  3 Ir 2.87-2.90
3 Ir 0.0000 0.0000 0.0000 x2  6 La 2.87-2.89
4 Ir 0.0000 0.3316 0.0000 x4  6 La 2.86-2.90
5 I 0.0000 0.1664 0.5000 x4  6 La 3.58

---

# 5
## La2IrI (PBE)

Data for a geometry-optimized La2IrI structure.

Calculated values
formation energy from raw total energies = -1107 meV per atom
total energy = -6.1732 eV per atom
energy above the most stable polymorph in this dataset = 0 meV/atom

abc: 4.2586 4.2586 24.7203
angles: 90.00 90.00 120.00
Closest atoms and distances in Å follow each position.
Space group R-3m (No. 166, hexagonal axes)
Inequivalent atoms, fractional coordinates:
1 La 0.0000 0.0000 0.2282 x6  3 Ir 2.89
2 Ir 0.0000 0.0000 0.5000 x3  6 La 2.89
3 I 0.0000 0.0000 0.0000 x3  6 La 3.58

---

# 6
## La4IrI (PBE)

Data for a geometry-optimized La4IrI structure.

Calculated values
formation energy from raw total energies = -563 meV per atom
total energy = -5.5835 eV per atom

abc: 9.0441 15.9376 7.2483
angles: 90.00 122.14 90.00
Closest atoms and distances in Å follow each position.
Space group C2/c (No. 15)
Inequivalent atoms, fractional coordinates:
1 La 0.1987 0.0666 0.2046 x8  2 Ir 2.79-2.97
2 La 0.2131 0.1999 0.7370 x8  1 Ir 2.84
3 Ir 0.0000 0.0720 0.7500 x4  6 La 2.79-2.97
4 I 0.0000 0.4324 0.2500 x4  6 La 3.30-3.40

---

# 7
## LaIr2I (PBE)

Data for a geometry-optimized LaIr2I structure.

Calculated values
formation energy from raw total energies = 253 meV per atom
total energy = -5.7967 eV per atom
energy above the most stable polymorph in this dataset = 0 meV/atom

abc: 4.9457 4.9457 17.4901
angles: 90.00 90.00 90.00
Closest atoms and distances in Å follow each position.
Space group I-42d (No. 122)
Inequivalent atoms, fractional coordinates:
1 La 0.0000 0.0000 0.0000 x4  4 Ir 3.24, 4 I 3.50
2 Ir 0.0864 0.2500 0.6250 x8  2 I 2.55, 2 Ir 2.62
3 I 0.0000 0.0000 0.5000 x4  4 Ir 2.55

---

# 8
## LaIrI2 (PBE)

Data for a geometry-optimized LaIrI2 structure.

Calculated values
formation energy from raw total energies = -91 meV per atom
total energy = -4.3130 eV per atom
energy above the most stable polymorph in this dataset = 0 meV/atom

abc: 5.1791 5.1791 18.5129
angles: 90.00 90.00 90.00
Closest atoms and distances in Å follow each position.
Space group I-42d (No. 122)
Inequivalent atoms, fractional coordinates:
1 La 0.0000 0.0000 0.0000 x4  4 I 3.06
2 Ir 0.0000 0.0000 0.5000 x4  4 I 2.86
3 I 0.2058 0.2500 0.6250 x8  2 Ir 2.86, 2 La 3.06

---

# 9
## La2IrI (PBE)

Data for a geometry-optimized La2IrI structure.

Calculated values
formation energy from raw total energies = -838 meV per atom
total energy = -5.9044 eV per atom
energy above the most stable polymorph in this dataset = 269 meV/atom

abc: 3.6270 3.6270 8.5833
angles: 90.00 90.00 90.00
Closest atoms and distances in Å follow each position.
Space group P4/mmm (No. 123)
Inequivalent atoms, fractional coordinates:
1 La 0.0000 0.0000 0.2030 x2  4 Ir 3.10
2 Ir 0.5000 0.5000 0.0000 x1  8 La 3.10
3 I 0.5000 0.5000 0.5000 x1  8 La 3.62, 4 I 3.63

---

# 10
## La2IrI2 (PBE)

Data for a geometry-optimized La2IrI2 structure.

Calculated values
formation energy from raw total energies = -251 meV per atom
total energy = -4.6146 eV per atom
energy above the most stable polymorph in this dataset = 880 meV/atom

abc: 8.5280 8.5280 3.9844
angles: 90.00 90.00 90.00
Closest atoms and distances in Å follow each position.
Space group P4/mbm (No. 127)
Inequivalent atoms, fractional coordinates:
1 La 0.1691 0.3309 0.0000 x4  6 I 3.09-3.29
2 Ir 0.0000 0.0000 0.5000 x2  4 I 3.32
3 I 0.1356 0.6356 0.5000 x4  6 La 3.09-3.29, 1 I 3.27, 2 Ir 3.32

---

# 11
## La2IrI (PBE)

Data for a geometry-optimized La2IrI structure.

Calculated values
formation energy from raw total energies = -539 meV per atom
total energy = -5.6056 eV per atom
energy above the most stable polymorph in this dataset = 568 meV/atom

abc: 7.5625 7.5625 7.5625
angles: 90.00 90.00 90.00
Closest atoms and distances in Å follow each position.
Space group Fm-3m (No. 225)
Inequivalent atoms, fractional coordinates:
1 La 0.2500 0.2500 0.2500 x8  4 Ir 3.27, 4 I 3.27
2 Ir 0.0000 0.0000 0.0000 x4  8 La 3.27
3 I 0.0000 0.0000 0.5000 x4  8 La 3.27

---

# 12
## La2MgIrI (PBE)

Data for a geometry-optimized La2MgIrI structure.

Calculated values
formation energy from raw total energies = -652 meV per atom
total energy = -5.0240 eV per atom

abc: 5.5731 5.5731 5.2086
angles: 90.00 90.00 90.00
Closest atoms and distances in Å follow each position.
Space group P4/mmm (No. 123)
Inequivalent atoms, fractional coordinates:
1 La 0.0000 0.5000 0.0000 x2  2 Ir 2.79
2 Mg 0.0000 0.0000 0.5000 x1  2 Ir 2.60
3 Ir 0.0000 0.0000 0.0000 x1  2 Mg 2.60, 4 La 2.79
4 I 0.5000 0.5000 0.5000 x1  8 La 3.81, 4 Mg 3.94